A plane-wave DFT calculation with PBE was carried out for a relaxed structure of La2B4O9.

a b c (Å): 6.396 6.768 7.736
angles (deg): 101.48 96.52 102.49
Fractional coordinates of all 30 atoms:
La 0.043 0.093 0.282
La 0.384 0.679 0.357
La 0.616 0.321 0.643
La 0.957 0.907 0.718
B 0.130 0.357 0.658
B 0.163 0.668 0.923
B 0.222 0.334 0.981
B 0.492 0.156 0.183
B 0.508 0.844 0.817
B 0.778 0.666 0.019
B 0.837 0.332 0.077
B 0.870 0.643 0.342
O 0.008 0.774 0.011
O 0.049 0.533 0.750
O 0.067 0.810 0.434
O 0.256 0.267 0.796
O 0.268 0.560 0.035
O 0.278 0.404 0.531
O 0.318 0.848 0.882
O 0.352 0.275 0.132
O 0.437 0.056 0.316
O 0.563 0.944 0.684
O 0.648 0.725 0.868
O 0.682 0.152 0.118
O 0.722 0.596 0.469
O 0.732 0.440 0.965
O 0.744 0.733 0.204
O 0.933 0.190 0.566
O 0.951 0.467 0.250
O 0.992 0.226 0.989

Summary:
As for the total energy: -8.29 eV/atom. The density is 4.886 Mg/m³. For the uncorrected formation energy, the calculation gives -2.88 eV/atom.